A relaxed structure of K3Sm2PaTe6. Source: Alexandria, functional PBE.

The space group is C2/m (No. 12) and the conventional cell measures 7.8362, 13.5707 and 8.7139 Å, with angles of 90.00, 107.44 and 90.00 degrees. The asymmetric unit holds K at (0.0000, 0.0000, 0.0000), K at (0.0000, 0.3317, 0.0000), Sm at (0.0000, 0.1664, 0.5000), Pa at (0.0000, 0.5000, 0.5000), Te at (0.2358, 0.3353, 0.7138) and Te at (0.2424, 0.0000, 0.7143).

The final energy comes out at -4.657 eV/atom. The calculation puts the uncorrected formation energy at -1234 meV/atom.